Entry 1:
# YAgAu, optimized geometry, DFT PBE
# Calculated formation energy (eV per atom): -0.530
# Offset from the most stable computed form (meV/atom): 88
# Total magnetization (μB per formula unit): 0.00
data_YAgAu
_chemical_formula_sum 'Y1 Ag1 Au1'
_symmetry_space_group_name_H-M 'P -6 m 2'
_symmetry_Int_Tables_number 187
_symmetry_space_group_name_Hall 'P -6 2'
_cell_length_a 4.7305
_cell_length_b 4.7305
_cell_length_c 3.4397
_cell_angle_alpha 90.00
_cell_angle_beta 90.00
_cell_angle_gamma 120.00
loop_
_atom_site_label
_atom_site_fract_x
_atom_site_fract_y
_atom_site_fract_z
Y1 0.0000 0.0000 0.0000
Ag1 0.3333 0.6667 0.5000
Au1 0.6667 0.3333 0.5000

***

Entry 2:
# Y2Ag2Au, optimized geometry, DFT PBE
# Calculated formation energy (eV per atom): -0.514
# Offset from the most stable computed form (meV/atom): 0
# Total magnetization (μB per formula unit): 0.00
data_Y2Ag2Au
_chemical_formula_sum 'Y4 Ag4 Au2'
_symmetry_space_group_name_H-M 'P -1'
_symmetry_Int_Tables_number 2
_symmetry_space_group_name_Hall '-P 1'
_cell_length_a 5.175
_cell_length_b 5.189
_cell_length_c 8.750
_cell_angle_alpha 89.81
_cell_angle_beta 72.87
_cell_angle_gamma 89.90
loop_
_atom_site_label
_atom_site_fract_x
_atom_site_fract_y
_atom_site_fract_z
Y1 0.144 0.251 0.210
Y2 0.354 0.249 0.790
Ag1 0.044 0.751 0.417
Ag2 0.460 0.749 0.584
Au1 0.252 0.750 0.000

***

Entry 3:
# YAg2Au2, optimized geometry, DFT PBE
# Calculated formation energy (eV per atom): -0.252
# Offset from the most stable computed form (meV/atom): 131
# Total magnetization (μB per formula unit): 0.00
data_YAg2Au2
_chemical_formula_sum 'Y2 Ag4 Au4'
_symmetry_space_group_name_H-M 'P 4/m b m'
_symmetry_Int_Tables_number 127
_symmetry_space_group_name_Hall '-P 4 2ab'
_cell_length_a 7.658
_cell_length_b 7.658
_cell_length_c 3.493
_cell_angle_alpha 90.00
_cell_angle_beta 90.00
_cell_angle_gamma 90.00
loop_
_atom_site_label
_atom_site_fract_x
_atom_site_fract_y
_atom_site_fract_z
Y1 0.000 0.000 0.000
Ag1 0.125 0.375 0.000
Au1 0.174 0.674 0.500

***

Entry 4:
# Y3Ag2Au4, optimized geometry, DFT PBE
# Calculated formation energy (eV per atom): -0.593
# Total magnetization (μB per formula unit): 0.00
data_Y3Ag2Au4
_chemical_formula_sum 'Y12 Ag8 Au16'
_symmetry_space_group_name_H-M 'C 1 2/c 1'
_symmetry_Int_Tables_number 15
_symmetry_space_group_name_Hall '-C 2yc'
_cell_length_a 13.896
_cell_length_b 10.944
_cell_length_c 5.313
_cell_angle_alpha 90.00
_cell_angle_beta 101.35
_cell_angle_gamma 90.00
loop_
_atom_site_label
_atom_site_fract_x
_atom_site_fract_y
_atom_site_fract_z
Y1 0.000 0.121 0.250
Y2 0.159 0.375 0.062
Ag1 0.222 0.127 0.375
Au1 0.063 0.367 0.512
Au2 0.116 0.121 0.821

***

Entry 5:
# YAgAu2, optimized geometry, DFT PBE
# Calculated formation energy (eV per atom): -0.533
# Total magnetization (μB per formula unit): 0.00
data_YAgAu2
_chemical_formula_sum 'Y2 Ag2 Au4'
_symmetry_space_group_name_H-M 'I -4 m 2'
_symmetry_Int_Tables_number 119
_symmetry_space_group_name_Hall 'I -4 -2'
_cell_length_a 4.377
_cell_length_b 4.377
_cell_length_c 8.477
_cell_angle_alpha 90.00
_cell_angle_beta 90.00
_cell_angle_gamma 90.00
loop_
_atom_site_label
_atom_site_fract_x
_atom_site_fract_y
_atom_site_fract_z
Y1 0.000 0.000 0.000
Ag1 0.000 0.500 0.750
Au1 0.000 0.000 0.500
Au2 0.000 0.500 0.250

***

Entry 6:
# YAgAu2, optimized geometry, DFT PBE
# Calculated formation energy (eV per atom): -0.510
# Total magnetization (μB per formula unit): 0.00
data_YAgAu2
_chemical_formula_sum 'Y4 Ag4 Au8'
_symmetry_space_group_name_H-M 'F -4 3 m'
_symmetry_Int_Tables_number 216
_symmetry_space_group_name_Hall 'F -4 2 3'
_cell_length_a 6.891
_cell_length_b 6.891
_cell_length_c 6.891
_cell_angle_alpha 90.00
_cell_angle_beta 90.00
_cell_angle_gamma 90.00
loop_
_atom_site_label
_atom_site_fract_x
_atom_site_fract_y
_atom_site_fract_z
Y1 0.000 0.000 0.000
Ag1 0.250 0.250 0.250
Au1 0.000 0.000 0.500
Au2 0.250 0.250 0.750